Computed, not measured: a relaxed AsS2NF crystal at the PBE level of DFT.

```
AsS2NF
1.0
4.862 0.000 0.000
0.000 4.862 0.000
0.000 0.000 3.684
N S As F
1 2 1 1
direct
0.000 0.000 0.500
0.500 0.000 0.000
0.000 0.500 0.000
0.000 0.000 0.000
0.500 0.500 0.500
```

Summary:
excess energy over the best structure of this formula in the dataset: 0.00 eV per formula unit
size of the total moment: 3.586 μB/f.u.
formation energy without anion corrections: 1.04 eV per atom
space-group type: P4/mmm, No. 123


Computed, not measured: a relaxed As2S3N2F12 crystal at the PBE level of DFT.

```
As2S3N2F12
1.0
-5.073 3.284 4.735
-7.098 -2.768 -0.944
1.701 -7.719 7.620
S F N As
6 24 4 4
direct
0.260 0.175 0.653
0.838 0.744 0.151
0.184 0.539 0.255
0.461 0.816 0.745
0.825 0.740 0.347
0.256 0.162 0.849
0.058 0.985 0.256
0.356 0.810 0.138
0.571 0.220 0.896
0.441 0.398 0.436
0.528 0.977 0.246
0.837 0.772 0.865
0.583 0.252 0.633
0.464 0.404 0.087
0.358 0.808 0.366
0.596 0.536 0.913
0.228 0.163 0.135
0.758 0.112 0.087
0.023 0.472 0.754
0.735 0.106 0.436
0.190 0.644 0.862
0.015 0.942 0.744
0.602 0.559 0.564
0.748 0.417 0.367
0.894 0.265 0.564
0.780 0.429 0.104
0.230 0.163 0.362
0.888 0.242 0.913
0.192 0.642 0.634
0.837 0.770 0.638
0.051 0.621 0.139
0.379 0.949 0.861
0.037 0.616 0.366
0.384 0.963 0.634
0.015 0.712 0.750
0.676 0.324 0.000
0.288 0.985 0.250
0.668 0.332 0.500
```

Summary:
size of the total moment: 0.104 μB/f.u.
formation energy without anion corrections: -1.47 eV per atom
space-group type: C2, No. 5